1.
Here is ZrPbO3 at its PBEsol-relaxed geometry from Alexandria via LeMat-Bulk. Energies are from SCAN.

Values from the calculation:
Total energy (eV/atom): -27.69
Volume (Å³ per atom): 16.1

abc: 5.5764 5.5764 17.9474
angles: 90.00 90.00 120.00
Space group R-3 (No. 148, hexagonal axes)
Unique sites:
Zr1 0.0000 0.0000 0.1623
Pb1 0.0000 0.0000 0.3772
O1 0.0058 0.3705 0.4372

***

2.
Here is Zr2PbO2 at its PBEsol-relaxed geometry from Alexandria via LeMat-Bulk. Energies are from SCAN.

Values from the calculation:
Total energy (eV/atom): -32.28
Volume (Å³ per atom): 15.9

abc: 3.664 3.664 11.877
angles: 90.00 90.00 90.00
Space group I4/mmm (No. 139)
Unique sites:
Zr1 0.000 0.000 0.154
Pb1 0.000 0.000 0.500
O1 0.000 0.500 0.250

***

3.
Here is PdO2 at its PBEsol-relaxed geometry from Alexandria via LeMat-Bulk. Energies are from SCAN.

Values from the calculation:
Total energy (eV/atom): -15.57
Volume (Å³ per atom): 14.1

abc: 3.046 5.275 10.502
angles: 90.00 90.88 90.00
Space group C2/c (No. 15)
Unique sites:
Pd1 0.000 0.000 0.000
O1 0.005 0.333 0.092

***

4.
Here is Pd7O8 at its PBEsol-relaxed geometry from Alexandria via LeMat-Bulk. Energies are from SCAN.

Values from the calculation:
Total energy (eV/atom): -19.16
Volume (Å³ per atom): 12.0

abc: 5.642 5.642 5.642
angles: 90.00 90.00 90.00
Space group Pm-3 (No. 200)
Unique sites:
Pd1 0.000 0.000 0.000
Pd2 0.000 0.253 0.500
O1 0.236 0.236 0.236

***

5.
Here is PdO at its PBEsol-relaxed geometry from Alexandria via LeMat-Bulk. Energies are from SCAN.

Values from the calculation:
Total energy (eV/atom): -20.14
Volume (Å³ per atom): 12.3

abc: 3.032 3.032 5.345
angles: 90.00 90.00 90.00
Space group P4_2/mmc (No. 131)
Unique sites:
Pd1 0.000 0.500 0.000
O1 0.000 0.000 0.250

***

6.
Here is Pd2PtO at its PBEsol-relaxed geometry from Alexandria via LeMat-Bulk. Energies are from SCAN.

Values from the calculation:
Total energy (eV/atom): -35.06
Volume (Å³ per atom): 16.6

abc: 4.734 4.734 11.842
angles: 90.00 90.00 90.00
Space group I-42d (No. 122)
Unique sites:
Pd1 0.107 0.250 0.125
Pt1 0.000 0.000 0.500
O1 0.000 0.000 0.000

***

7.
Here is PdRuPtO2 at its PBEsol-relaxed geometry from Alexandria via LeMat-Bulk. Energies are from SCAN.

Values from the calculation:
Total energy (eV/atom): -29.43
Volume (Å³ per atom): 14.7

abc: 3.741 3.741 5.255
angles: 90.00 90.00 90.00
Space group P4/mmm (No. 123)
Unique sites:
Pd1 0.000 0.000 0.000
Ru1 0.500 0.500 0.000
Pt1 0.500 0.500 0.500
O1 0.000 0.500 0.500

***

8.
Here is Rb2PdS8O26 at its PBEsol-relaxed geometry from Alexandria via LeMat-Bulk. Energies are from SCAN.

Values from the calculation:
Total energy (eV/atom): -9.91
Volume (Å³ per atom): 15.1

abc: 7.593 8.729 9.259
angles: 73.28 88.99 72.34
Space group P-1 (No. 2)
Unique sites:
Rb1 0.129 0.236 0.379
Pd1 0.500 0.000 0.000
S1 0.132 0.688 0.018
S2 0.221 0.735 0.303
S3 0.331 0.859 0.788
S4 0.379 0.342 0.731
O1 0.032 0.213 0.077
O2 0.104 0.641 0.379
O3 0.154 0.805 0.123
O4 0.159 0.521 0.111
O5 0.182 0.906 0.676
O6 0.231 0.881 0.336
O7 0.253 0.507 0.707
O8 0.299 0.984 0.874
O9 0.310 0.683 0.927
O10 0.368 0.247 0.631
O11 0.415 0.248 0.895
O12 0.416 0.604 0.310
O13 0.482 0.207 0.246

***

9.
Here is SrRe2PdO at its PBEsol-relaxed geometry from Alexandria via LeMat-Bulk. Energies are from SCAN.

Values from the calculation:
Total energy (eV/atom): -37.91
Volume (Å³ per atom): 23.3

abc: 5.339 5.339 4.083
angles: 90.00 90.00 90.00
Space group P4/mmm (No. 123)
Unique sites:
Sr1 0.000 0.000 0.000
Re1 0.000 0.500 0.000
Pd1 0.500 0.500 0.500
O1 0.000 0.000 0.500

***

10.
Here is PdRuO3 at its PBEsol-relaxed geometry from Alexandria via LeMat-Bulk. Energies are from SCAN.

Values from the calculation:
Total energy (eV/atom): -16.99
Volume (Å³ per atom): 11.7

abc: 3.878 3.878 3.878
angles: 90.00 90.00 90.00
Space group Pm-3m (No. 221)
Unique sites:
Pd1 0.000 0.000 0.000
Ru1 0.500 0.500 0.500
O1 0.000 0.000 0.500

***

11.
Here is Si2PdRuO at its PBEsol-relaxed geometry from Alexandria via LeMat-Bulk. Energies are from SCAN.

Values from the calculation:
Total energy (eV/atom): -17.79
Volume (Å³ per atom): 19.0

abc: 4.415 4.415 4.872
angles: 90.00 90.00 90.00
Space group P4/mmm (No. 123)
Unique sites:
Si1 0.000 0.500 0.000
Pd1 0.000 0.000 0.500
Ru1 0.000 0.000 0.000
O1 0.500 0.500 0.500

***

12.
Here is Te2PdSO at its PBEsol-relaxed geometry from Alexandria via LeMat-Bulk. Energies are from SCAN.

Values from the calculation:
Total energy (eV/atom): -24.52
Volume (Å³ per atom): 18.7

abc: 5.258 5.258 3.377
angles: 90.00 90.00 90.00
Space group P4/mmm (No. 123)
Unique sites:
Te1 0.000 0.500 0.000
Pd1 0.000 0.000 0.500
S1 0.500 0.500 0.000
O1 0.500 0.500 0.500